Computed, not measured: a geometry-optimized Pm3Sm2Sn2 structure at the PBE-GGA level of DFT.

Computed properties:
Its final energy is -4.821 eV per atom. The space-group type is No. 12. For the formation energy, the calculation gives -0.293 eV per atom. The calculation puts the calculated volume at 31.5 Å³ per atom.

a = 3.5560 Å, b = 8.0995 Å, c = 8.9726 Å
α = 118.83°, β = 101.43°, γ = 90.00°
Sites, in units of the cell vectors:
Pm1 0.2124 0.7731 0.4248
Pm2 0.0000 0.5000 0.0000
Pm3 0.7876 0.2269 0.5752
Sn1 0.4182 0.1115 0.8365
Sn2 0.5818 0.8885 0.1635
Sm1 0.1115 0.2523 0.2231
Sm2 0.8885 0.7477 0.7769